# 1
This record from Alexandria describes an optimized crystal structure of LiMgPO4. The functional is PBE. Values from VASP.

Quantum ESPRESSO input file:
```
&SYSTEM
  ibrav = 0, nat = 14, ntyp = 4
/
ATOMIC_SPECIES
P 30.97 P.upf
O 16.00 O.upf
Mg 24.30 Mg.upf
Li 6.94 Li.upf
CELL_PARAMETERS angstrom
-0.6068 5.7446 -1.1568
-4.2318 3.0229 2.2303
0.9447 3.9201 3.9700
ATOMIC_POSITIONS angstrom
P -0.9864 6.7172 3.8723
P -2.9075 5.9703 1.1711
O -3.3352 7.3562 1.7293
O -0.8235 7.8390 2.8092
O -1.3922 6.0371 0.7080
O -0.5587 5.3313 3.3142
O -2.8469 9.5414 3.8716
O -1.0470 3.1462 1.1718
O -2.5017 6.6504 4.3354
O -3.0704 4.8486 2.2343
Mg 0.1689 4.8323 1.4066
Mg 0.4723 1.9600 1.9850
Li 0.0000 0.0000 0.0000
Li -1.6435 3.4715 3.1001
```

=====

# 2
This record from Alexandria describes an optimized crystal structure of LiMgPa2O8. The functional is PBE. Values from VASP.

Quantum ESPRESSO input file:
```
&SYSTEM
  ibrav = 0, nat = 12, ntyp = 4
/
ATOMIC_SPECIES
Mg 24.30 Mg.upf
Pa 231.04 Pa.upf
O 16.00 O.upf
Li 6.94 Li.upf
CELL_PARAMETERS angstrom
6.0387 0.0000 0.0000
-3.0194 5.2297 0.0000
0.0000 0.0000 4.6140
ATOMIC_POSITIONS angstrom
Mg 0.0000 0.0000 2.3070
Pa 0.0000 3.4865 4.6131
Pa 3.0194 1.7432 0.0009
O 3.0194 1.7432 2.3081
O -2.0988 3.6355 3.7084
O 1.1785 5.2296 3.7084
O 2.0990 3.6354 0.9056
O 0.9203 1.5943 3.7084
O 1.8409 0.0001 0.9056
O 0.0000 3.4865 2.3060
O 5.1182 1.5942 0.9056
Li 0.0000 0.0000 0.0000
```

=====

# 3
This record from Alexandria describes an optimized crystal structure of LiMgPbO4. The functional is PBE. Values from VASP.

Quantum ESPRESSO input file:
```
&SYSTEM
  ibrav = 0, nat = 14, ntyp = 4
/
ATOMIC_SPECIES
O 16.00 O.upf
Li 6.94 Li.upf
Pb 207.20 Pb.upf
Mg 24.30 Mg.upf
CELL_PARAMETERS angstrom
-3.2229 5.0145 -1.0166
-6.0525 0.1303 1.8467
-1.4057 3.7380 4.9104
ATOMIC_POSITIONS angstrom
O -6.5387 4.0634 4.8043
O -4.1424 4.8194 0.9362
O -8.0841 6.5885 4.1746
O -5.7322 2.2351 2.4723
O -3.2924 4.0704 3.7906
O -4.9489 6.6477 3.2681
O -2.5970 2.2943 1.5659
O -7.3887 4.8124 1.9499
Li -5.9297 3.6944 1.0535
Li -4.7514 5.1884 4.6870
Pb 0.0000 0.0000 0.0000
Pb -3.7291 1.9342 3.3785
Mg -2.3143 4.3762 1.9469
Mg -0.7028 1.8690 2.4552
```

=====

# 4
This record from Alexandria describes an optimized crystal structure of Li2MgPb2O6. The functional is PBE. Values from VASP.

Quantum ESPRESSO input file:
```
&SYSTEM
  ibrav = 0, nat = 11, ntyp = 4
/
ATOMIC_SPECIES
O 16.00 O.upf
Mg 24.30 Mg.upf
Li 6.94 Li.upf
Pb 207.20 Pb.upf
CELL_PARAMETERS angstrom
-3.9869 -2.1633 3.3801
5.1441 1.2442 1.9976
-1.9097 4.9602 -0.3871
ATOMIC_POSITIONS angstrom
O -1.1778 0.0244 4.3171
O -2.7107 2.8465 1.1484
O -0.4957 2.8577 3.7693
O 1.9582 1.1947 3.8423
O 0.4253 4.0168 0.6735
O -0.2567 1.1835 1.2213
Mg -0.9548 2.4801 -0.1935
Li 3.6722 0.6949 2.2204
Li -2.5150 -1.6140 3.1572
Pb -1.8678 1.4639 2.7211
Pb 1.1154 2.5772 2.2695
```

=====

# 5
This record from Alexandria describes an optimized crystal structure of Li3Mg2PbO6. The functional is PBE. Values from VASP.

Quantum ESPRESSO input file:
```
&SYSTEM
  ibrav = 0, nat = 12, ntyp = 4
/
ATOMIC_SPECIES
Pb 207.20 Pb.upf
O 16.00 O.upf
Mg 24.30 Mg.upf
Li 6.94 Li.upf
CELL_PARAMETERS angstrom
5.4142 -0.0096 0.0090
-2.7141 4.6848 0.0090
-0.8922 -1.5448 4.9079
ATOMIC_POSITIONS angstrom
Pb 0.0000 0.0000 0.0000
O -0.0392 3.1361 3.7519
O -0.9281 1.5971 1.1740
O 0.0338 0.0585 3.7464
O 1.7742 3.0720 1.1794
O 1.8472 -0.0057 1.1740
O 2.7360 1.5333 3.7519
Mg 2.7073 1.5538 0.0090
Mg -0.0071 3.1215 0.0090
Li -1.7294 3.0861 2.4629
Li 3.5374 0.0443 2.4629
Li 0.9040 1.5652 2.4629
```

=====

# 6
This record from Alexandria describes an optimized crystal structure of Li2MgPbO4. The functional is PBE. Values from VASP.

Quantum ESPRESSO input file:
```
&SYSTEM
  ibrav = 0, nat = 8, ntyp = 4
/
ATOMIC_SPECIES
Mg 24.30 Mg.upf
O 16.00 O.upf
Pb 207.20 Pb.upf
Li 6.94 Li.upf
CELL_PARAMETERS angstrom
-0.9615 -1.2223 -2.8081
-1.4787 -4.4774 2.4552
-5.1513 0.5156 1.5393
ATOMIC_POSITIONS angstrom
Mg -3.3150 -1.9809 1.9973
O -4.6795 -1.4409 0.3947
O -2.9120 -3.7433 0.7917
O -2.6431 -2.2259 -1.7955
O -4.9484 -2.9583 2.9819
Pb -6.3714 -2.3343 1.3629
Li -5.1513 0.5156 1.5393
Li -3.0564 -0.3534 -0.6344
```

=====

# 7
This record from Alexandria describes an optimized crystal structure of Li2Mg3PbO6. The functional is PBE. Values from VASP.

Quantum ESPRESSO input file:
```
&SYSTEM
  ibrav = 0, nat = 12, ntyp = 4
/
ATOMIC_SPECIES
Li 6.94 Li.upf
Pb 207.20 Pb.upf
Mg 24.30 Mg.upf
O 16.00 O.upf
CELL_PARAMETERS angstrom
-4.7066 -2.3370 0.7934
3.6916 -0.1007 3.8216
-1.4959 5.1397 0.3530
ATOMIC_POSITIONS angstrom
Li 0.8762 -0.8504 2.8064
Li -1.8912 -1.5873 1.8086
Pb 0.0000 0.0000 0.0000
Mg -4.0163 0.6159 1.4885
Mg 1.5054 2.0862 3.4795
Mg -1.2554 1.3510 2.4840
O -2.0370 0.3936 0.7688
O -1.3480 3.2103 1.3677
O -1.1629 -0.5082 3.6003
O -3.2301 1.5745 3.2055
O 0.7192 1.1275 1.7626
O -0.4739 2.3085 4.1993
```

=====

# 8
This record from Alexandria describes an optimized crystal structure of LiMgPdO4. The functional is PBE. Values from VASP.

Quantum ESPRESSO input file:
```
&SYSTEM
  ibrav = 0, nat = 14, ntyp = 4
/
ATOMIC_SPECIES
Pd 106.42 Pd.upf
Li 6.94 Li.upf
Mg 24.30 Mg.upf
O 16.00 O.upf
CELL_PARAMETERS angstrom
-3.1868 3.9058 -3.3118
-5.9319 0.7297 1.0763
-2.0016 5.1539 2.5120
ATOMIC_POSITIONS angstrom
Pd 0.0000 0.0000 0.0000
Pd -3.9667 2.9418 1.7942
Li -5.8795 3.5123 -1.1847
Li -5.2408 6.2771 1.4614
Mg -1.0008 2.5769 1.2560
Mg -2.5942 4.5298 -0.3999
O -2.8062 2.5687 0.2374
O -3.6755 4.9148 1.3738
O -4.2041 4.4402 -1.7027
O -5.4308 7.0663 -0.4504
O -7.4449 4.8745 -1.0972
O -5.6895 2.7231 0.7270
O -8.3141 7.2206 0.0392
O -6.9162 5.3492 1.9793
```

=====

# 9
This record from Alexandria describes an optimized crystal structure of Li2MgPd2O6. The functional is PBE. Values from VASP.

Quantum ESPRESSO input file:
```
&SYSTEM
  ibrav = 0, nat = 11, ntyp = 4
/
ATOMIC_SPECIES
O 16.00 O.upf
Li 6.94 Li.upf
Pd 106.42 Pd.upf
Mg 24.30 Mg.upf
CELL_PARAMETERS angstrom
5.2668 -0.0333 0.0240
-2.6321 4.5620 0.0240
-0.9728 -1.6722 4.9198
ATOMIC_POSITIONS angstrom
O 3.1023 2.1320 1.4079
O 0.3201 3.7506 1.4079
O 0.3863 0.6640 1.3922
O -1.4404 0.7246 3.5600
O 1.2756 2.1926 3.5757
O 1.3418 -0.8940 3.5600
Li 3.9138 0.7539 0.0240
Li -1.2791 3.7749 0.0240
Pd -0.4660 2.1828 2.4839
Pd 2.1279 0.6737 2.4839
Mg -0.4864 -0.8361 2.4599
```

=====

# 10
This record from Alexandria describes an optimized crystal structure of LiMg2PdO. The functional is PBE. Values from VASP.

Quantum ESPRESSO input file:
```
&SYSTEM
  ibrav = 0, nat = 5, ntyp = 4
/
ATOMIC_SPECIES
O 16.00 O.upf
Mg 24.30 Mg.upf
Pd 106.42 Pd.upf
Li 6.94 Li.upf
CELL_PARAMETERS angstrom
4.2311 0.0000 0.0000
0.0000 4.2311 0.0000
0.0000 0.0000 3.8655
ATOMIC_POSITIONS angstrom
O 0.0000 0.0000 0.0000
Mg 0.0000 2.1155 0.0000
Mg 2.1155 0.0000 0.0000
Pd 2.1155 2.1155 1.9327
Li 0.0000 0.0000 1.9327
```

=====

# 11
This record from Alexandria describes an optimized crystal structure of LiMg2PtO. The functional is PBE. Values from VASP.

Quantum ESPRESSO input file:
```
&SYSTEM
  ibrav = 0, nat = 5, ntyp = 4
/
ATOMIC_SPECIES
Li 6.94 Li.upf
Mg 24.30 Mg.upf
O 16.00 O.upf
Pt 195.08 Pt.upf
CELL_PARAMETERS angstrom
4.2105 0.0000 0.0000
0.0000 4.2105 0.0000
0.0000 0.0000 3.8291
ATOMIC_POSITIONS angstrom
Li 0.0000 0.0000 1.9146
Mg 0.0000 2.1053 0.0000
Mg 2.1053 0.0000 0.0000
O 0.0000 0.0000 0.0000
Pt 2.1053 2.1053 1.9146
```

=====

# 12
This record from Alexandria describes an optimized crystal structure of LiMg2PtO4. The functional is PBE. Values from VASP.

Quantum ESPRESSO input file:
```
&SYSTEM
  ibrav = 0, nat = 8, ntyp = 4
/
ATOMIC_SPECIES
O 16.00 O.upf
Mg 24.30 Mg.upf
Li 6.94 Li.upf
Pt 195.08 Pt.upf
CELL_PARAMETERS angstrom
-0.1277 -4.2524 -0.9143
3.7602 0.3519 -2.1614
0.2884 1.1286 5.0650
ATOMIC_POSITIONS angstrom
O -0.0611 -2.1273 -0.4525
O 1.0269 -0.4009 1.7209
O 2.8940 -2.3710 0.2684
O 2.0380 -2.9467 3.0654
Mg 2.9324 -0.2349 0.6829
Mg 0.0000 0.0000 0.0000
Li 1.8163 -1.9502 -1.5379
Pt 0.9885 -2.5370 1.3064
```

=====

# 13
This record from Alexandria describes an optimized crystal structure of Li3PuMg2O6. The functional is PBE. Values from VASP.

Quantum ESPRESSO input file:
```
&SYSTEM
  ibrav = 0, nat = 12, ntyp = 4
/
ATOMIC_SPECIES
Li 6.94 Li.upf
O 16.00 O.upf
Mg 24.30 Mg.upf
Pu 244.00 Pu.upf
CELL_PARAMETERS angstrom
5.4120 -0.0339 0.0313
-2.7340 4.6707 0.0313
-0.8640 -1.4961 4.9608
ATOMIC_POSITIONS angstrom
Li 0.9070 1.5704 2.5117
Li 3.4703 0.0900 2.5117
Li -1.6564 3.0508 2.5117
O 1.8114 -0.0157 1.1776
O 0.0310 0.0536 3.8480
O 2.7328 1.5796 3.8459
O 0.0025 3.1565 3.8459
O -0.9188 1.5612 1.1776
O 1.7829 3.0871 1.1755
Mg 2.7039 1.5301 0.0313
Mg -0.0260 3.1067 0.0313
Pu 0.0000 0.0000 0.0000
```

=====

# 14
This record from Alexandria describes an optimized crystal structure of Li2PuMgO6. The functional is PBE. Values from VASP.

Quantum ESPRESSO input file:
```
&SYSTEM
  ibrav = 0, nat = 10, ntyp = 4
/
ATOMIC_SPECIES
O 16.00 O.upf
Li 6.94 Li.upf
Pu 244.00 Pu.upf
Mg 24.30 Mg.upf
CELL_PARAMETERS angstrom
5.2530 -0.0001 -0.0018
-2.6263 4.5493 -0.0001
-2.6256 -1.5161 4.7069
ATOMIC_POSITIONS angstrom
O -0.9390 1.3651 0.8895
O -1.8744 -0.0916 3.3308
O 1.9914 3.0481 0.8875
O -1.5328 2.9671 3.3306
O 1.6946 0.1952 0.8885
O 0.9007 1.7339 3.3291
Li 0.0398 0.0203 4.0420
Li 0.0411 3.0530 1.4844
Pu 0.0406 3.0529 4.5210
Mg 2.6666 1.5361 2.2437
```

=====

# 15
This record from Alexandria describes an optimized crystal structure of Li2PuMgO4. The functional is PBE. Values from VASP.

Quantum ESPRESSO input file:
```
&SYSTEM
  ibrav = 0, nat = 8, ntyp = 4
/
ATOMIC_SPECIES
Pu 244.00 Pu.upf
Li 6.94 Li.upf
O 16.00 O.upf
Mg 24.30 Mg.upf
CELL_PARAMETERS angstrom
-1.6718 1.7036 -3.7327
1.5133 -3.4904 -2.2710
-3.8338 -1.2940 3.7561
ATOMIC_POSITIONS angstrom
Pu -0.0793 -0.8934 -3.0018
Li -1.1999 -2.8389 -0.7583
Li 0.0000 0.0000 0.0000
O -1.9582 -1.9437 -2.6396
O -2.0341 -1.1370 0.3921
O -0.9738 0.7747 -1.8397
O -4.6110 -1.2584 -1.1386
Mg -2.7924 -0.2418 -1.4892
```

=====

# 16
This record from Alexandria describes an optimized crystal structure of Li2PuMg2O6. The functional is PBE. Values from VASP.

Quantum ESPRESSO input file:
```
&SYSTEM
  ibrav = 0, nat = 11, ntyp = 4
/
ATOMIC_SPECIES
O 16.00 O.upf
Mg 24.30 Mg.upf
Pu 244.00 Pu.upf
Li 6.94 Li.upf
CELL_PARAMETERS angstrom
-3.8180 -3.8706 0.2910
5.0172 -1.1538 -1.7720
1.0711 0.3855 5.0948
ATOMIC_POSITIONS angstrom
O -0.4681 -1.2918 3.7206
O 2.7384 -3.3471 -0.1069
O 2.5501 -0.3637 3.0158
O 0.6271 -1.1809 1.1303
O -0.2798 -4.2752 0.5979
O 1.6432 -3.4580 2.4834
Mg -0.3427 -2.7739 2.1519
Mg 2.6130 -1.8650 1.4618
Pu 0.5355 0.1928 2.5474
Li 3.1788 -1.7191 -1.3428
Li -1.9796 -3.3053 -0.1383
```

=====

# 17
This record from Alexandria describes an optimized crystal structure of LiPuMgO4. The functional is PBE. Values from VASP.

Quantum ESPRESSO input file:
```
&SYSTEM
  ibrav = 0, nat = 14, ntyp = 4
/
ATOMIC_SPECIES
O 16.00 O.upf
Li 6.94 Li.upf
Mg 24.30 Mg.upf
Pu 244.00 Pu.upf
CELL_PARAMETERS angstrom
6.1829 0.0000 0.0000
3.0914 5.4971 -0.2222
3.0914 1.4631 5.3035
ATOMIC_POSITIONS angstrom
O 6.1829 5.4649 3.7060
O 9.2744 5.2455 3.5458
O 4.4969 4.5188 1.1813
O 3.0914 1.7146 1.5355
O 6.1829 1.4952 1.3753
O 7.8689 4.5188 1.1813
O 7.8689 2.4413 3.9000
O 4.4969 2.4413 3.9000
Li 6.1829 3.6111 0.5186
Li 6.1829 3.3491 4.5627
Mg 4.6372 0.7315 2.6517
Mg 1.5457 0.7315 2.6517
Pu 3.0914 3.4801 2.5407
Pu 0.0000 0.0000 0.0000
```

=====

# 18
This record from Alexandria describes an optimized crystal structure of LiPuMg2O6. The functional is PBE. Values from VASP.

Quantum ESPRESSO input file:
```
&SYSTEM
  ibrav = 0, nat = 10, ntyp = 4
/
ATOMIC_SPECIES
Mg 24.30 Mg.upf
O 16.00 O.upf
Pu 244.00 Pu.upf
Li 6.94 Li.upf
CELL_PARAMETERS angstrom
5.3085 0.0002 -0.0004
2.6544 4.5968 -0.0008
2.6536 1.5319 4.8122
ATOMIC_POSITIONS angstrom
Mg 5.3092 3.0651 2.0102
Mg 2.6536 1.5319 4.6376
O 4.3538 4.6653 1.1552
O 3.7456 3.0253 3.6800
O 6.1227 1.7309 3.6795
O 6.0551 4.4363 3.6791
O 4.3992 1.4375 1.1559
O 7.1727 3.0915 1.1555
Pu 2.6542 1.5322 0.1319
Li 7.9620 4.5965 2.8436
```

=====

# 19
This record from Alexandria describes an optimized crystal structure of Li3MgRh2O6. The functional is PBE. Values from VASP.

Quantum ESPRESSO input file:
```
&SYSTEM
  ibrav = 0, nat = 12, ntyp = 4
/
ATOMIC_SPECIES
O 16.00 O.upf
Mg 24.30 Mg.upf
Li 6.94 Li.upf
Rh 102.91 Rh.upf
CELL_PARAMETERS angstrom
3.0645 0.0000 0.0000
0.0000 5.9618 0.2649
-1.5322 -1.6677 6.2363
ATOMIC_POSITIONS angstrom
O 1.5322 2.7793 2.2929
O 0.0000 4.2679 4.3979
O 0.0000 1.5148 4.2083
O 1.5322 0.0262 2.1033
O 1.5322 2.8668 6.4043
O 0.0000 1.4273 0.0969
Mg 1.5322 0.0000 0.0000
Li 1.5322 -0.1036 4.2447
Li 0.0000 4.3977 2.2565
Li 1.5322 2.9809 0.1325
Rh 0.0000 1.3834 2.1292
Rh 1.5322 2.9107 4.3720
```

=====

# 20
This record from Alexandria describes an optimized crystal structure of LiMg3Rh3O8. The functional is PBE. Values from VASP.

Quantum ESPRESSO input file:
```
&SYSTEM
  ibrav = 0, nat = 15, ntyp = 4
/
ATOMIC_SPECIES
O 16.00 O.upf
Rh 102.91 Rh.upf
Mg 24.30 Mg.upf
Li 6.94 Li.upf
CELL_PARAMETERS angstrom
-2.7456 5.4193 -0.3515
-1.4822 -3.8789 4.4487
5.2555 2.6566 -0.0950
ATOMIC_POSITIONS angstrom
O -2.2142 0.9232 4.1472
O 3.2420 3.2737 -0.1450
O 2.5303 1.4111 1.9902
O -0.1499 0.0592 2.0828
O -1.5026 2.7858 2.0120
O -0.7870 -1.8939 4.3300
O 1.1776 4.1378 1.9194
O 1.8148 6.0908 -0.3278
Rh 0.0000 0.0000 0.0000
Rh -0.7411 -1.9395 2.2244
Rh -2.1139 0.7702 2.0486
Mg 1.2550 4.0379 -0.2233
Mg 1.8867 -0.6112 2.1769
Mg 0.5139 2.0985 2.0011
Li 2.6277 1.3283 -0.0475
```

=====

Here are the calculated raw formation energy numbers, same order: -2.43 -2.29 -1.41 -1.46 -1.78 -1.73 -2.06 -1.31 -1.29 -1.20 -1.31 -1.78 -2.45 -2.16 -2.49 -2.42 -2.58 -2.41 -1.55 -1.43 (eV/atom).